# KZrCr2O8, optimized geometry, DFT PBE+U
data_KZrCr2O8
_chemical_formula_sum 'K3 Zr3 Cr6 O24'
_cell_length_a 5.4451
_cell_length_b 5.4451
_cell_length_c 23.3912
_cell_angle_alpha 90.00
_cell_angle_beta 90.00
_cell_angle_gamma 120.00
_space_group_name_H-M_alt 'R -3'
_space_group_IT_number 148
_space_group_name_Hall '-R 3'
loop_
_atom_site_label
_atom_site_type_symbol
_atom_site_fract_x
_atom_site_fract_y
_atom_site_fract_z
K1 K 0.0000 0.0000 0.0000
Zr1 Zr 0.0000 0.0000 0.5000
Cr1 Cr 0.0000 0.0000 0.2433
O1 O 0.0000 0.0000 0.3130
O2 O 0.0118 0.6069 0.8856
# Uncorrected energy in hartree per atom: -0.2640